--- i ---
## BePd4Au (GGA-PBE)

Data for an optimized crystal structure of BePd4Au.

```
data_BePd4Au
_chemical_formula_sum 'Be4 Pd16 Au4'
_cell_length_a 7.2615
_cell_length_b 2.8950
_cell_length_c 16.8658
_cell_angle_alpha 90.00
_cell_angle_beta 90.00
_cell_angle_gamma 90.00
_space_group_name_H-M_alt 'P n m a'
_space_group_IT_number 62
loop_
_space_group_symop_operation_xyz
'x,y,z'
'-x,-y,-z'
'-x+1/2,-y,z+1/2'
'x+1/2,y,-z+1/2'
'x+1/2,-y+1/2,-z+1/2'
'-x+1/2,y+1/2,z+1/2'
'-x,y+1/2,-z'
'x,-y+1/2,z'
loop_
_atom_site_label
_atom_site_type_symbol
_atom_site_fract_x
_atom_site_fract_y
_atom_site_fract_z
_atom_site_occupancy
Be1 Be 0.2106 0.2500 0.0600 1
Pd1 Pd 0.0402 0.2500 0.5654 1
Pd2 Pd 0.0880 0.7500 0.7059 1
Pd3 Pd 0.1045 0.7500 0.1556 1
Pd4 Pd 0.1380 0.7500 0.9568 1
Au1 Au 0.2309 0.7500 0.3220 1
```

DOS at the Fermi energy	0.80	states/eV per atom
calculated density	11.83	g/cm3

--- ii ---
## BePd4Au (GGA-PBE)

Data for an optimized crystal structure of BePd4Au.

```
data_BePd4Au
_chemical_formula_sum 'Be4 Pd16 Au4'
_cell_length_a 7.9166
_cell_length_b 11.3835
_cell_length_c 4.8455
_cell_angle_alpha 90.00
_cell_angle_beta 125.36
_cell_angle_gamma 90.00
_space_group_name_H-M_alt 'C 1 2/c 1'
_space_group_IT_number 15
loop_
_space_group_symop_operation_xyz
'x,y,z'
'-x,-y,-z'
'-x,y,-z+1/2'
'x,-y,z+1/2'
'x+1/2,y+1/2,z'
'-x+1/2,-y+1/2,-z'
'-x+1/2,y+1/2,-z+1/2'
'x+1/2,-y+1/2,z+1/2'
loop_
_atom_site_label
_atom_site_type_symbol
_atom_site_fract_x
_atom_site_fract_y
_atom_site_fract_z
_atom_site_occupancy
Be1 Be 0.0000 0.1432 0.2500 1
Pd1 Pd 0.1589 0.2914 0.1515 1
Pd2 Pd 0.1714 0.4380 0.6010 1
Au1 Au 0.0000 0.0826 0.7500 1
```

DOS at the Fermi energy	0.76	states/eV per atom
calculated density	11.78	g/cm3

Most stable to least stable, the ends of the list are i and ii.

--- i ---
## PmBeAu (GGA-PBE)

Data for an optimized crystal structure of PmBeAu.

```
data_PmBeAu
_chemical_formula_sum 'Pm3 Be3 Au3'
_cell_length_a 5.0451
_cell_length_b 5.0451
_cell_length_c 8.6178
_cell_angle_alpha 90.00
_cell_angle_beta 90.00
_cell_angle_gamma 120.00
_space_group_name_H-M_alt 'R 3 m'
_space_group_IT_number 160
_space_group_name_Hall 'R 3 -2"'
loop_
_atom_site_label
_atom_site_type_symbol
_atom_site_fract_x
_atom_site_fract_y
_atom_site_fract_z
_atom_site_occupancy
Pm1 Pm 0.0000 0.0000 0.0000 1
Be1 Be 0.0000 0.0000 0.6485 1
Au1 Au 0.0000 0.0000 0.3882 1
```

DOS at the Fermi energy	0.66	states/eV per atom
calculated density	9.20	g/cm3

--- ii ---
## PmBeAu (GGA-PBE)

Data for an optimized crystal structure of PmBeAu.

```
data_PmBeAu
_chemical_formula_sum 'Pm1 Be1 Au1'
_cell_length_a 4.2568
_cell_length_b 4.2568
_cell_length_c 3.9344
_cell_angle_alpha 90.00
_cell_angle_beta 90.00
_cell_angle_gamma 120.00
_space_group_name_H-M_alt 'P -6 m 2'
_space_group_IT_number 187
_space_group_name_Hall 'P -6 2'
loop_
_atom_site_label
_atom_site_type_symbol
_atom_site_fract_x
_atom_site_fract_y
_atom_site_fract_z
_atom_site_occupancy
Pm1 Pm 0.0000 0.0000 0.0000 1
Be1 Be 0.3333 0.6667 0.5000 1
Au1 Au 0.6667 0.3333 0.5000 1
```

DOS at the Fermi energy	0.65	states/eV per atom
calculated density	9.44	g/cm3

Most stable to least stable, the ends of the list are ii and i.

--- i ---
## PmBeAu2 (GGA-PBE)

Data for an optimized crystal structure of PmBeAu2.

```
data_PmBeAu2
_chemical_formula_sum 'Pm3 Be3 Au6'
_cell_length_a 4.2210
_cell_length_b 4.2210
_cell_length_c 15.7429
_cell_angle_alpha 90.00
_cell_angle_beta 90.00
_cell_angle_gamma 120.00
_space_group_name_H-M_alt 'R -3 m'
_space_group_IT_number 166
_space_group_name_Hall '-R 3 2"'
loop_
_atom_site_label
_atom_site_type_symbol
_atom_site_fract_x
_atom_site_fract_y
_atom_site_fract_z
_atom_site_occupancy
Pm1 Pm 0.0000 0.0000 0.0000 1
Be1 Be 0.0000 0.0000 0.5000 1
Au1 Au 0.0000 0.0000 0.2137 1
```

DOS at the Fermi energy	0.51	states/eV per atom
calculated density	11.24	g/cm3

--- ii ---
## PmBeAu2 (GGA-PBE)

Data for an optimized crystal structure of PmBeAu2.

```
data_PmBeAu2
_chemical_formula_sum 'Pm4 Be4 Au8'
_cell_length_a 6.8560
_cell_length_b 6.8560
_cell_length_c 6.8560
_cell_angle_alpha 90.00
_cell_angle_beta 90.00
_cell_angle_gamma 90.00
_space_group_name_H-M_alt 'F m -3 m'
_space_group_IT_number 225
_space_group_name_Hall '-F 4 2 3'
loop_
_atom_site_label
_atom_site_type_symbol
_atom_site_fract_x
_atom_site_fract_y
_atom_site_fract_z
_atom_site_occupancy
Pm1 Pm 0.0000 0.0000 0.0000 1
Be1 Be 0.0000 0.0000 0.5000 1
Au1 Au 0.2500 0.2500 0.2500 1
```

DOS at the Fermi energy	0.86	states/eV per atom
calculated density	11.29	g/cm3

--- iii ---
## PmBeAu2 (GGA-PBE)

Data for an optimized crystal structure of PmBeAu2.

```
data_PmBeAu2
_chemical_formula_sum 'Pm1 Be1 Au2'
_cell_length_a 3.1962
_cell_length_b 3.1962
_cell_length_c 7.2578
_cell_angle_alpha 90.00
_cell_angle_beta 90.00
_cell_angle_gamma 90.00
_space_group_name_H-M_alt 'P 4/m m m'
_space_group_IT_number 123
_space_group_name_Hall '-P 4 2'
loop_
_atom_site_label
_atom_site_type_symbol
_atom_site_fract_x
_atom_site_fract_y
_atom_site_fract_z
_atom_site_occupancy
Pm1 Pm 0.0000 0.0000 0.0000 1
Be1 Be 0.0000 0.0000 0.5000 1
Au1 Au 0.5000 0.5000 0.3079 1
```

DOS at the Fermi energy	0.61	states/eV per atom
calculated density	12.27	g/cm3

Most stable to least stable, the ends of the list are i and ii.

--- i ---
## Pm2BeAu (GGA-PBE)

Data for an optimized crystal structure of Pm2BeAu.

```
data_Pm2BeAu
_chemical_formula_sum 'Pm2 Be1 Au1'
_cell_length_a 3.6354
_cell_length_b 3.6354
_cell_length_c 7.0561
_cell_angle_alpha 90.00
_cell_angle_beta 90.00
_cell_angle_gamma 90.00
_space_group_name_H-M_alt 'P 4/m m m'
_space_group_IT_number 123
_space_group_name_Hall '-P 4 2'
loop_
_atom_site_label
_atom_site_type_symbol
_atom_site_fract_x
_atom_site_fract_y
_atom_site_fract_z
_atom_site_occupancy
Pm1 Pm 0.0000 0.0000 0.2356 1
Be1 Be 0.5000 0.5000 0.0000 1
Au1 Au 0.5000 0.5000 0.5000 1
```

DOS at the Fermi energy	0.63	states/eV per atom
calculated density	8.83	g/cm3

--- ii ---
## Pm2BeAu (GGA-PBE)

Data for an optimized crystal structure of Pm2BeAu.

```
data_Pm2BeAu
_chemical_formula_sum 'Pm8 Be4 Au4'
_cell_length_a 7.2619
_cell_length_b 7.2619
_cell_length_c 7.2619
_cell_angle_alpha 90.00
_cell_angle_beta 90.00
_cell_angle_gamma 90.00
_space_group_name_H-M_alt 'F m -3 m'
_space_group_IT_number 225
_space_group_name_Hall '-F 4 2 3'
loop_
_atom_site_label
_atom_site_type_symbol
_atom_site_fract_x
_atom_site_fract_y
_atom_site_fract_z
_atom_site_occupancy
Pm1 Pm 0.2500 0.2500 0.2500 1
Be1 Be 0.0000 0.0000 0.0000 1
Au1 Au 0.0000 0.0000 0.5000 1
```

DOS at the Fermi energy	0.71	states/eV per atom
calculated density	8.60	g/cm3

Most stable to least stable, the ends of the list are i and ii.